# Pm3DyPa3N8, relaxed, DFT PBE
# ΔE_f (raw) ... -1467 meV/atom
data_Pm3DyPa3N8
_cell_length_a 7.0452
_cell_length_b 7.0452
_cell_length_c 17.3261
_cell_angle_alpha 90.00
_cell_angle_beta 90.00
_cell_angle_gamma 120.00
_symmetry_space_group_name_H-M 'R -3 m'
_symmetry_Int_Tables_number 166
_symmetry_space_group_name_Hall '-R 3 2"'
loop_
_atom_site_label
_atom_site_fract_x
_atom_site_fract_y
_atom_site_fract_z
Pm1 0.0000 0.5000 0.0000
Dy1 0.0000 0.0000 0.5000
Pa1 0.0000 0.5000 0.5000
N1 0.0000 0.0000 0.2418
N2 0.0028 0.5014 0.7648